Entry 1:
# PBE AsWAu2, optimized geometry
data_AsWAu2
_cell_length_a 5.4407
_cell_length_b 5.4407
_cell_length_c 5.4407
_cell_angle_alpha 138.55
_cell_angle_beta 138.55
_cell_angle_gamma 60.06
_symmetry_space_group_name_H-M 'P 1'
_symmetry_Int_Tables_number 1
_symmetry_space_group_name_Hall 'P 1'
loop_
_atom_site_label
_atom_site_type_symbol
_atom_site_fract_x
_atom_site_fract_y
_atom_site_fract_z
As1 As 0.7500 0.2500 0.5000
Au1 Au 0.0000 0.0000 0.0000
Au2 Au 0.5000 0.5000 0.0000
W1 W 0.2500 0.7500 0.5000
# * symmetry: No. 139

Entry 2:
# PBE AsWAu, optimized geometry
data_AsWAu
_cell_length_a 7.9298
_cell_length_b 7.7559
_cell_length_c 2.8222
_cell_angle_alpha 83.13
_cell_angle_beta 76.18
_cell_angle_gamma 20.69
_symmetry_space_group_name_H-M 'P 1'
_symmetry_Int_Tables_number 1
_symmetry_space_group_name_Hall 'P 1'
loop_
_atom_site_label
_atom_site_type_symbol
_atom_site_fract_x
_atom_site_fract_y
_atom_site_fract_z
As1 As 0.0264 0.0264 0.9736
Au1 Au 0.3143 0.3143 0.6857
W1 W 0.6593 0.6593 0.3407
# * symmetry: No. 42
# * ΔE to the lowest computed polymorph: 0.25 eV/f.u.

Entry 3:
# PBE AsW2Au, optimized geometry
data_AsW2Au
_cell_length_a 3.0410
_cell_length_b 3.0410
_cell_length_c 6.9567
_cell_angle_alpha 90.00
_cell_angle_beta 90.00
_cell_angle_gamma 90.00
_symmetry_space_group_name_H-M 'P 1'
_symmetry_Int_Tables_number 1
_symmetry_space_group_name_Hall 'P 1'
loop_
_atom_site_label
_atom_site_type_symbol
_atom_site_fract_x
_atom_site_fract_y
_atom_site_fract_z
As1 As 0.5000 0.5000 0.2500
Au1 Au 0.5000 0.5000 0.7500
W1 W 0.0000 0.0000 0.0287
W2 W 0.0000 0.0000 0.4713
# * symmetry: No. 123

Entry 4:
# PBE AsW2Au, optimized geometry
data_AsW2Au
_cell_length_a 5.2056
_cell_length_b 5.2056
_cell_length_c 2.8443
_cell_angle_alpha 81.30
_cell_angle_beta 81.30
_cell_angle_gamma 115.76
_symmetry_space_group_name_H-M 'P 1'
_symmetry_Int_Tables_number 1
_symmetry_space_group_name_Hall 'P 1'
loop_
_atom_site_label
_atom_site_type_symbol
_atom_site_fract_x
_atom_site_fract_y
_atom_site_fract_z
As1 As 0.5000 0.0000 0.5000
Au1 Au 0.0000 0.5000 0.5000
W1 W 0.0000 0.0000 0.0000
W2 W 0.5000 0.5000 0.0000
# * symmetry: No. 12

Entry 5:
# PBE AsWAu2, optimized geometry
data_AsWAu2
_cell_length_a 5.7324
_cell_length_b 5.7324
_cell_length_c 5.7324
_cell_angle_alpha 149.63
_cell_angle_beta 132.96
_cell_angle_gamma 57.03
_symmetry_space_group_name_H-M 'P 1'
_symmetry_Int_Tables_number 1
_symmetry_space_group_name_Hall 'P 1'
loop_
_atom_site_label
_atom_site_type_symbol
_atom_site_fract_x
_atom_site_fract_y
_atom_site_fract_z
As1 As 0.2500 0.7500 0.5000
Au1 Au 0.0026 0.0026 0.0000
Au2 Au 0.4974 0.4974 0.0000
W1 W 0.7500 0.2500 0.5000
# * symmetry: No. 71

Entry 6:
# PBE AsW2Au, optimized geometry
data_AsW2Au
_cell_length_a 5.3214
_cell_length_b 5.3214
_cell_length_c 4.6246
_cell_angle_alpha 64.31
_cell_angle_beta 64.31
_cell_angle_gamma 34.50
_symmetry_space_group_name_H-M 'P 1'
_symmetry_Int_Tables_number 1
_symmetry_space_group_name_Hall 'P 1'
loop_
_atom_site_label
_atom_site_type_symbol
_atom_site_fract_x
_atom_site_fract_y
_atom_site_fract_z
As1 As 0.7500 0.7500 0.7500
Au1 Au 0.2500 0.2500 0.2500
W1 W 0.0272 0.0272 0.9736
W2 W 0.4728 0.4728 0.5264
# * symmetry: No. 71

Entry 7:
# PBE AsWAu2, optimized geometry
data_AsWAu2
_cell_length_a 5.3344
_cell_length_b 5.3344
_cell_length_c 2.7970
_cell_angle_alpha 90.00
_cell_angle_beta 90.00
_cell_angle_gamma 119.04
_symmetry_space_group_name_H-M 'P 1'
_symmetry_Int_Tables_number 1
_symmetry_space_group_name_Hall 'P 1'
loop_
_atom_site_label
_atom_site_type_symbol
_atom_site_fract_x
_atom_site_fract_y
_atom_site_fract_z
As1 As 0.0000 0.5000 0.5000
Au1 Au 0.0000 0.0000 0.0000
Au2 Au 0.5000 0.5000 0.0000
W1 W 0.5000 0.0000 0.5000
# * symmetry: No. 65

Entry 8:
# PBE AsWAu, optimized geometry
data_AsWAu
_cell_length_a 3.0516
_cell_length_b 3.0516
_cell_length_c 6.6229
_cell_angle_alpha 90.00
_cell_angle_beta 90.00
_cell_angle_gamma 120.00
_symmetry_space_group_name_H-M 'P 1'
_symmetry_Int_Tables_number 1
_symmetry_space_group_name_Hall 'P 1'
loop_
_atom_site_label
_atom_site_type_symbol
_atom_site_fract_x
_atom_site_fract_y
_atom_site_fract_z
As1 As 0.0000 0.0000 0.9650
Au1 Au 0.6667 0.3333 0.3471
W1 W 0.3333 0.6667 0.6879
# * symmetry: No. 156
# * ΔE to the lowest computed polymorph: 0.00 eV/f.u.

Entry 9:
# PBE AsWAu2, optimized geometry
data_AsWAu2
_cell_length_a 3.1001
_cell_length_b 4.4738
_cell_length_c 5.0051
_cell_angle_alpha 90.00
_cell_angle_beta 90.00
_cell_angle_gamma 90.00
_symmetry_space_group_name_H-M 'P 1'
_symmetry_Int_Tables_number 1
_symmetry_space_group_name_Hall 'P 1'
loop_
_atom_site_label
_atom_site_type_symbol
_atom_site_fract_x
_atom_site_fract_y
_atom_site_fract_z
As1 As 0.0000 0.5000 0.5000
Au1 Au 0.0000 0.0000 0.0000
Au2 Au 0.5000 0.5000 0.0000
W1 W 0.5000 0.0000 0.5000
# * symmetry: No. 47

Entry 10:
# PBE AsW2Au, optimized geometry
data_AsW2Au
_cell_length_a 4.9876
_cell_length_b 4.9876
_cell_length_c 4.9876
_cell_angle_alpha 132.58
_cell_angle_beta 132.58
_cell_angle_gamma 69.32
_symmetry_space_group_name_H-M 'P 1'
_symmetry_Int_Tables_number 1
_symmetry_space_group_name_Hall 'P 1'
loop_
_atom_site_label
_atom_site_type_symbol
_atom_site_fract_x
_atom_site_fract_y
_atom_site_fract_z
As1 As 0.5000 0.5000 0.0000
Au1 Au 0.7500 0.2500 0.5000
W1 W 0.0000 0.0000 0.0000
W2 W 0.2500 0.7500 0.5000
# * symmetry: No. 119

Entry 11:
# PBE AsW2Au, optimized geometry
data_AsW2Au
_cell_length_a 2.8474
_cell_length_b 2.8474
_cell_length_c 8.6687
_cell_angle_alpha 90.00
_cell_angle_beta 90.00
_cell_angle_gamma 109.00
_symmetry_space_group_name_H-M 'P 1'
_symmetry_Int_Tables_number 1
_symmetry_space_group_name_Hall 'P 1'
loop_
_atom_site_label
_atom_site_type_symbol
_atom_site_fract_x
_atom_site_fract_y
_atom_site_fract_z
As1 As 0.5000 0.5000 0.2500
Au1 Au 0.5000 0.5000 0.7500
W1 W 0.0000 0.0000 0.0183
W2 W 0.0000 0.0000 0.4817
# * symmetry: No. 65

Entry 12:
# PBE AsW2Au, optimized geometry
data_AsW2Au
_cell_length_a 9.3598
_cell_length_b 9.3598
_cell_length_c 9.3598
_cell_angle_alpha 18.20
_cell_angle_beta 18.20
_cell_angle_gamma 18.20
_symmetry_space_group_name_H-M 'P 1'
_symmetry_Int_Tables_number 1
_symmetry_space_group_name_Hall 'P 1'
loop_
_atom_site_label
_atom_site_type_symbol
_atom_site_fract_x
_atom_site_fract_y
_atom_site_fract_z
As1 As 0.5110 0.5110 0.5110
Au1 Au 0.7463 0.7463 0.7463
W1 W 0.9947 0.9947 0.9947
W2 W 0.2480 0.2480 0.2480
# * symmetry: No. 160

Entry 13:
# PBE AsW2Au, optimized geometry
data_AsW2Au
_cell_length_a 4.5121
_cell_length_b 2.9142
_cell_length_c 5.3278
_cell_angle_alpha 73.91
_cell_angle_beta 90.00
_cell_angle_gamma 90.00
_symmetry_space_group_name_H-M 'P 1'
_symmetry_Int_Tables_number 1
_symmetry_space_group_name_Hall 'P 1'
loop_
_atom_site_label
_atom_site_type_symbol
_atom_site_fract_x
_atom_site_fract_y
_atom_site_fract_z
As1 As 0.0000 0.3255 0.4696
Au1 Au 0.5000 0.6901 0.7433
W1 W 0.0000 0.0487 0.0238
W2 W 0.5000 0.4356 0.2632
# * symmetry: No. 6

Entry 14:
# PBE AsWAu2, optimized geometry
data_AsWAu2
_cell_length_a 4.4529
_cell_length_b 2.8089
_cell_length_c 5.8191
_cell_angle_alpha 74.90
_cell_angle_beta 90.00
_cell_angle_gamma 90.00
_symmetry_space_group_name_H-M 'P 1'
_symmetry_Int_Tables_number 1
_symmetry_space_group_name_Hall 'P 1'
loop_
_atom_site_label
_atom_site_type_symbol
_atom_site_fract_x
_atom_site_fract_y
_atom_site_fract_z
As1 As 0.5000 0.7637 0.7112
Au1 Au 0.0000 0.8594 0.0110
Au2 Au 0.5000 0.2577 0.2509
W1 W 0.0000 0.6192 0.5268
# * symmetry: No. 6

Entry 15:
# PBE YAs2Au, optimized geometry
data_YAs2Au
_cell_length_a 7.6967
_cell_length_b 7.6967
_cell_length_c 7.6967
_cell_angle_alpha 28.67
_cell_angle_beta 28.67
_cell_angle_gamma 28.67
_symmetry_space_group_name_H-M 'P 1'
_symmetry_Int_Tables_number 1
_symmetry_space_group_name_Hall 'P 1'
loop_
_atom_site_label
_atom_site_type_symbol
_atom_site_fract_x
_atom_site_fract_y
_atom_site_fract_z
Y1 Y 0.7501 0.7501 0.7501
As1 As 0.9922 0.9922 0.9922
As2 As 0.2530 0.2530 0.2530
Au1 Au 0.5047 0.5047 0.5047
# * symmetry: No. 160

no.,Fermi-level density of states (states/eV per atom),energy of formation from the pure elements (eV/f.u.)
1,0.7573,2.48
2,0.2827,1.24
3,0.6301,1.54
4,0.8237,2.40
5,0.6890,1.92
6,0.4950,1.81
7,0.3475,1.71
8,0.4295,0.99
9,0.8099,2.00
10,1.1886,2.54
11,0.6532,2.57
12,0.5569,1.38
13,0.5360,1.82
14,0.6514,1.67
15,0.9045,-1.10